{
  "formula": "Fe4Hg5",
  "functional": "PBE",
  "state": "optimized geometry",
  "lattice_angstrom": [[8.0954, 0.0000, 0.0000], [-4.0477, 7.0108, 0.0000], [0.0000, 0.0000, 5.6174]],
  "species": ["Fe", "Fe", "Fe", "Fe", "Fe", "Fe", "Fe", "Fe", "Hg", "Hg", "Hg", "Hg", "Hg", "Hg", "Hg", "Hg", "Hg", "Hg"],
  "fractional_positions": [[0.0000, 0.0000, 0.0000], [0.0000, 0.0000, 0.5000], [0.0000, 0.3555, 0.2500], [0.0000, 0.6445, 0.7500], [0.3555, 0.0000, 0.2500], [0.3555, 0.3555, 0.7500], [0.6445, 0.0000, 0.7500], [0.6445, 0.6445, 0.2500], [0.0000, 0.2974, 0.7500], [0.0000, 0.7026, 0.2500], [0.2974, 0.0000, 0.7500], [0.2974, 0.2974, 0.2500], [0.3333, 0.6667, 0.0000], [0.3333, 0.6667, 0.5000], [0.6667, 0.3333, 0.0000], [0.6667, 0.3333, 0.5000], [0.7026, 0.0000, 0.2500], [0.7026, 0.7026, 0.7500]],
  "space_group": "P6_3/mcm",
  "e_form_ev_per_atom": 0.5511,
  "crystal_system": "hexagonal"
}